A plane-wave DFT calculation with PBEsol was carried out for crystalline Zn3Hg at its relaxed geometry.

Results
Magnetic moment (μB/f.u.): 0.0
E (eV/atom): -1.269

abc: 8.563 3.541 4.488
angles: 90.00 102.08 90.00
Space group C2/m (No. 12)
Unique sites:
Zn 0.000 0.000 0.000 [2 per cell]
Zn 0.246 0.500 0.224 [4 per cell]
Hg 0.000 0.500 0.500 [2 per cell]